(1)
VASP calculation (GGA-PBE) on crystalline CrTeOs3 at its relaxed geometry.

Structure (POSCAR):
```
CrTeOs3
1.0
4.5137 0.0000 0.0000
0.0000 4.5137 0.0000
0.0000 0.0000 4.5137
Cr Te Os
1 1 3
Cartesian
0.0000 0.0000 0.0000
2.2568 2.2568 2.2568
0.0000 0.0000 2.2568
0.0000 2.2568 0.0000
2.2568 0.0000 0.0000
```

Computed properties:
D(E_F) in states/eV per cell: 7.1
Volume in Å³/f.u.: 92.0
ΔE_f (raw) in kcal/mol of atoms: 39.6
Energy relative to the lowest polymorph listed for this composition in eV per atom: 0.000
Energy in eV per atom: -7.57

---

(2)
VASP calculation (GGA-PBE) on crystalline CrTe3Os at its relaxed geometry.

Structure (POSCAR):
```
CrTe3Os
1.0
4.8924 0.0000 0.0000
0.0000 4.8924 0.0000
0.0000 0.0000 4.8924
Cr Te Os
1 3 1
Cartesian
0.0000 0.0000 0.0000
0.0000 0.0000 2.4462
0.0000 2.4462 0.0000
2.4462 0.0000 0.0000
2.4462 2.4462 2.4462
```

Computed properties:
D(E_F) in states/eV per cell: 4.7
Volume in Å³/f.u.: 117.1
ΔE_f (raw) in kcal/mol of atoms: 31.9
Energy relative to the lowest polymorph listed for this composition in eV per atom: 0.000
Energy in eV per atom: -4.67

---

(3)
VASP calculation (GGA-PBE) on crystalline Cr2TeOs at its relaxed geometry.

Structure (POSCAR):
```
Cr2TeOs
1.0
4.5536 -1.5076 0.0000
4.5536 1.5076 0.0000
-1.3487 0.0000 4.6184
Cr Te Os
2 1 1
Cartesian
2.0128 0.0000 0.7933
5.7457 0.0000 3.8251
-0.6743 0.0000 2.3092
4.5536 0.0000 0.0000
```

Computed properties:
D(E_F) in states/eV per cell: 2.3
Volume in Å³/f.u.: 63.4
ΔE_f (raw) in kcal/mol of atoms: 12.8
Energy in eV per atom: -7.85

---

(4)
VASP calculation (GGA-PBE) on crystalline CrTe2Os at its relaxed geometry.

Structure (POSCAR):
```
CrTe2Os
1.0
1.9748 1.1401 8.2315
-1.9748 1.1401 8.2315
0.0000 -2.2803 8.2315
Cr Te Os
1 2 1
Cartesian
0.0000 0.0000 0.0000
0.0000 0.0000 2.7192
0.0000 0.0000 21.9754
0.0000 0.0000 12.3473
```

Computed properties:
D(E_F) in states/eV per cell: 4.6
Volume in Å³/f.u.: 111.2
ΔE_f (raw) in kcal/mol of atoms: 13.8
Energy relative to the lowest polymorph listed for this composition in eV per atom: 0.458
Energy in eV per atom: -6.19

---

(5)
VASP calculation (GGA-PBE) on crystalline CrTeOs at its relaxed geometry.

Structure (POSCAR):
```
CrTeOs
1.0
3.0701 0.0000 0.0000
-1.5350 2.6588 0.0000
0.0000 0.0000 6.2504
Cr Te Os
1 1 1
Cartesian
0.0000 0.0000 0.0000
0.0000 1.7725 4.1221
1.5350 0.8863 1.7660
```

Computed properties:
D(E_F) in states/eV per cell: 2.9
Volume in Å³/f.u.: 51.0
ΔE_f (raw) in kcal/mol of atoms: 15.6
Energy relative to the lowest polymorph listed for this composition in eV per atom: 0.639
Energy in eV per atom: -7.32

---

(6)
VASP calculation (GGA-PBE) on crystalline CrTe2Os at its relaxed geometry.

Structure (POSCAR):
```
CrTe2Os
1.0
4.8693 0.0000 0.0000
0.0000 3.9889 0.0000
-1.1541 0.0000 4.7409
Cr Te Os
1 2 1
Cartesian
0.0000 0.0000 0.0000
0.5271 1.9945 3.4192
3.1881 1.9945 1.3217
1.8576 0.0000 2.3705
```

Computed properties:
D(E_F) in states/eV per cell: 3.2
Volume in Å³/f.u.: 92.1
ΔE_f (raw) in kcal/mol of atoms: 16.6
Energy relative to the lowest polymorph listed for this composition in eV per atom: 0.583
Energy in eV per atom: -6.06

---

(7)
VASP calculation (GGA-PBE) on crystalline Cr2TeOs at its relaxed geometry.

Structure (POSCAR):
```
Cr2TeOs
1.0
2.9223 0.0000 0.0000
0.0000 3.8399 0.0000
-0.8182 0.0000 5.7592
Cr Te Os
2 1 1
Cartesian
0.0119 0.0000 1.0449
2.0922 0.0000 4.7142
1.0521 1.9200 2.8796
1.4612 1.9200 0.0000
```

Computed properties:
D(E_F) in states/eV per cell: 3.6
Volume in Å³/f.u.: 64.6
ΔE_f (raw) in kcal/mol of atoms: 11.9
Energy in eV per atom: -7.89

---

(8)
VASP calculation (GGA-PBE) on crystalline CrTeOs at its relaxed geometry.

Structure (POSCAR):
```
CrTeOs
1.0
11.1130 0.0000 0.0000
0.0000 1.6648 2.8860
0.0000 -1.6648 2.8860
Cr Te Os
2 2 2
Cartesian
0.0000 0.0000 0.0000
5.5565 0.0000 0.0097
1.8143 0.0000 3.8475
9.2987 0.0000 3.8475
4.1275 0.0000 1.9335
6.9855 0.0000 1.9335
```

Computed properties:
D(E_F) in states/eV per cell: 4.9
Volume in Å³/f.u.: 53.4
ΔE_f (raw) in kcal/mol of atoms: 16.0
Energy relative to the lowest polymorph listed for this composition in eV per atom: 0.654
Energy in eV per atom: -7.30

---

(9)
VASP calculation (GGA-PBE) on crystalline Cr2TeOs at its relaxed geometry.

Structure (POSCAR):
```
Cr2TeOs
1.0
4.4259 -1.4996 0.0000
4.4259 1.4996 0.0000
-0.7738 0.0000 4.5779
Cr Te Os
2 1 1
Cartesian
0.0000 0.0000 0.0000
6.3064 0.0000 1.0814
3.9830 0.0000 2.2163
1.7052 0.0000 3.6996
```

Computed properties:
D(E_F) in states/eV per cell: 4.5
Volume in Å³/f.u.: 60.8
ΔE_f (raw) in kcal/mol of atoms: 11.9
Energy in eV per atom: -7.89

---

(10)
VASP calculation (GGA-PBE) on crystalline CrTeOs at its relaxed geometry.

Structure (POSCAR):
```
CrTeOs
1.0
4.4235 0.0000 0.0000
-2.2117 3.8308 0.0000
0.0000 0.0000 3.1008
Cr Te Os
1 1 1
Cartesian
0.0000 0.0000 0.0000
0.0000 2.5539 1.5504
2.2117 1.2769 1.5504
```

Computed properties:
D(E_F) in states/eV per cell: 3.0
Volume in Å³/f.u.: 52.5
ΔE_f (raw) in kcal/mol of atoms: 14.7
Energy relative to the lowest polymorph listed for this composition in eV per atom: 0.598
Energy in eV per atom: -7.36

---

(11)
VASP calculation (GGA-PBE) on crystalline CrTe2Os at its relaxed geometry.

Structure (POSCAR):
```
CrTe2Os
1.0
3.9188 0.0000 0.0000
0.0000 3.9189 0.0000
-0.0245 0.0000 6.6950
Cr Te Os
1 2 1
Cartesian
0.0000 0.0000 0.0000
1.9593 0.0000 1.7697
3.8959 1.9595 4.9253
1.9364 1.9595 6.6949
```

Computed properties:
D(E_F) in states/eV per cell: 2.9
Volume in Å³/f.u.: 102.8
ΔE_f (raw) in kcal/mol of atoms: 3.2
Energy relative to the lowest polymorph listed for this composition in eV per atom: 0.000
Energy in eV per atom: -6.64

---

(12)
VASP calculation (GGA-PBE) on crystalline CrTe2Os at its relaxed geometry.

Structure (POSCAR):
```
CrTe2Os
1.0
4.7621 0.0000 0.0000
0.0000 4.7621 0.0000
0.0000 0.0000 3.3279
Cr Te Os
1 2 1
Cartesian
0.0000 0.0000 0.0000
0.0000 2.3811 1.6640
2.3811 0.0000 1.6640
2.3811 2.3811 0.0000
```

Computed properties:
D(E_F) in states/eV per cell: 3.9
Volume in Å³/f.u.: 75.5
ΔE_f (raw) in kcal/mol of atoms: 13.4
Energy relative to the lowest polymorph listed for this composition in eV per atom: 0.440
Energy in eV per atom: -6.20